# 1
## AcMgAg (PBE)

Data for a relaxed AcMgAg crystal.

Properties
V	31.867	A^3/atom
energy above the most stable polymorph in this dataset	0	meV/atom
total moment	0.0	μB per cell
ρ	6.24	Mg/m³

abc: 5.132 5.132 5.132
angles: 60.00 60.00 60.00
Fractional positions:
Ac  0.000  0.000  0.000
Mg  0.500  0.500  0.500
Ag  0.250  0.250  0.250

# 2
## HfMgAsO (PBE)

Data for a relaxed HfMgAsO crystal.

Properties
V	20.632	A^3/atom
energy above the most stable polymorph in this dataset	427	meV/atom
total moment	0.0	μB per cell
ρ	5.91	Mg/m³

abc: 4.222 4.222 9.257
angles: 90.00 90.00 90.00
Fractional positions:
Hf  0.250  0.750  0.000
Hf  0.750  0.250  0.000
Mg  0.250  0.250  0.496
Mg  0.750  0.750  0.504
As  0.250  0.250  0.830
As  0.750  0.750  0.170
O  0.250  0.750  0.500
O  0.750  0.250  0.500

# 3
## SmPO4 (PBE)

Data for a relaxed SmPO4 crystal.

Properties
E	-0.294	Ha/atom
V	12.587	A^3/atom
total moment	0.0	μB per cell
ρ	5.39	Mg/m³

abc: 5.833 5.833 5.833
angles: 106.06 106.06 116.53
Fractional positions:
Sm  0.375  0.625  0.750
Sm  0.625  0.375  0.250
P  0.125  0.875  0.250
P  0.875  0.125  0.750
O  0.142  0.718  0.423
O  0.205  0.282  0.923
O  0.282  0.205  0.423
O  0.282  0.858  0.077
O  0.718  0.142  0.923
O  0.718  0.795  0.577
O  0.795  0.718  0.077
O  0.858  0.282  0.577

# 4
## BeCu2Ag (PBE)

Data for a relaxed BeCu2Ag crystal.

Properties
E	-0.124	Ha/atom
V	12.428	A^3/atom
ρ	8.15	Mg/m³

abc: 4.127 4.127 4.127
angles: 60.00 60.00 60.00
Fractional positions:
Be  0.000  0.000  0.000
Cu  0.250  0.250  0.250
Cu  0.500  0.500  0.500
Ag  0.750  0.750  0.750

# 5
## HoErCS (PBE)

Data for a relaxed HoErCS crystal.

Properties
E	-0.254	Ha/atom
V	18.696	A^3/atom
total moment	0.0	μB per cell
ρ	8.35	Mg/m³

abc: 3.674 3.674 12.792
angles: 90.00 90.00 120.00
Fractional positions:
Ho  0.333  0.667  0.000
Ho  0.667  0.333  0.500
Er  0.333  0.667  0.292
Er  0.667  0.333  0.792
C  0.000  0.000  0.396
C  0.000  0.000  0.896
S  0.333  0.667  0.647
S  0.667  0.333  0.147

# 6
## Tm2TeO5 (PBE)

Data for a relaxed Tm2TeO5 crystal.

Properties
E	-0.264	Ha/atom
V	14.271	A^3/atom
total moment	0.0	μB per cell
ρ	7.93	Mg/m³

abc: 6.485 6.485 7.648
angles: 112.32 112.32 51.54
Fractional positions:
Tm  0.133  0.139  0.242
Tm  0.139  0.133  0.742
Tm  0.861  0.867  0.258
Tm  0.867  0.861  0.758
Te  0.500  0.500  0.000
Te  0.500  0.500  0.500
O  0.086  0.763  0.547
O  0.157  0.478  0.845
O  0.237  0.914  0.953
O  0.297  0.703  0.250
O  0.478  0.157  0.345
O  0.522  0.843  0.655
O  0.703  0.297  0.750
O  0.763  0.086  0.047
O  0.843  0.522  0.155
O  0.914  0.237  0.453

# 7
## Ba3Nd4O9 (PBE)

Data for a relaxed Ba3Nd4O9 crystal.

Properties
E	-0.270	Ha/atom
V	18.693	A^3/atom
total moment	0.0	μB per cell
ρ	6.29	Mg/m³

abc: 9.500 9.500 9.500
angles: 38.54 38.54 38.54
Fractional positions:
Ba  0.000  0.000  0.000
Ba  0.168  0.168  0.168
Ba  0.584  0.584  0.584
Nd  0.302  0.302  0.302
Nd  0.429  0.429  0.429
Nd  0.739  0.739  0.739
Nd  0.866  0.866  0.866
O  0.044  0.430  0.611
O  0.125  0.559  0.737
O  0.171  0.998  0.584
O  0.430  0.611  0.044
O  0.559  0.737  0.125
O  0.584  0.171  0.998
O  0.611  0.044  0.430
O  0.737  0.125  0.559
O  0.998  0.584  0.171

# 8
## PmTePO (PBE)

Data for a relaxed PmTePO crystal.

Properties
V	21.206	A^3/atom
energy above the most stable polymorph in this dataset	2	meV/atom
total moment	0.0	μB per cell
ρ	6.26	Mg/m³

abc: 3.705 6.104 7.502
angles: 90.00 90.00 90.00
Fractional positions:
Pm  0.000  0.093  0.000
Pm  0.000  0.907  0.500
Te  0.500  0.405  0.554
Te  0.500  0.595  0.054
P  0.000  0.437  0.313
P  0.000  0.563  0.813
O  0.500  0.054  0.841
O  0.500  0.946  0.341

# 9
## Dy3PaAs4 (PBE)

Data for a relaxed Dy3PaAs4 crystal.

Properties
E	-0.245	Ha/atom
V	24.461	A^3/atom
total moment	0.1	μB per cell
ρ	8.64	Mg/m³

abc: 7.104 7.104 4.113
angles: 90.00 90.00 109.47
Fractional positions:
Dy  0.000  0.000  0.000
Dy  0.000  0.500  0.500
Dy  0.500  0.000  0.500
Pa  0.500  0.500  0.000
As  0.252  0.252  0.500
As  0.252  0.748  0.000
As  0.748  0.252  0.000
As  0.748  0.748  0.500

# 10
## ScCuNiSn (PBE)

Data for a relaxed ScCuNiSn crystal.

Properties
V	15.799	A^3/atom
energy above the most stable polymorph in this dataset	0	meV/atom
total moment	0.0	μB per cell
ρ	7.51	Mg/m³

abc: 4.471 4.471 4.471
angles: 60.00 60.00 60.00
Fractional positions:
Sc  0.000  0.000  0.000
Cu  0.250  0.250  0.250
Ni  0.750  0.750  0.750
Sn  0.500  0.500  0.500

# 11
## NdPbO3 (PBE)

Data for a relaxed NdPbO3 crystal.

Properties
E	-0.237	Ha/atom
V	15.791	A^3/atom
total moment	0.0	μB per cell
ρ	8.40	Mg/m³

abc: 6.049 6.049 6.049
angles: 119.40 119.40 91.03
Fractional positions:
Nd  0.250  0.750  0.500
Nd  0.750  0.250  0.500
Pb  0.000  0.000  0.000
Pb  0.500  0.500  0.000
O  0.151  0.651  0.802
O  0.250  0.250  0.000
O  0.349  0.151  0.500
O  0.651  0.849  0.500
O  0.750  0.750  0.000
O  0.849  0.349  0.198

# 12
## Li2Y2NiGe2Pt (PBE)

Data for a relaxed Li2Y2NiGe2Pt crystal.

Properties
E	-0.198	Ha/atom
V	16.632	A^3/atom
total moment	0.0	μB per cell
ρ	7.37	Mg/m³

abc: 4.540 4.540 6.455
angles: 90.00 90.00 90.00
Fractional positions:
Li  0.000  0.000  0.000
Li  0.500  0.500  0.500
Y  0.000  0.500  0.240
Y  0.500  0.000  0.760
Ni  0.500  0.500  0.000
Ge  0.000  0.500  0.759
Ge  0.500  0.000  0.241
Pt  0.000  0.000  0.500